Entry 1:
Rb2TlHg6Pd | Alexandria via LeMat-Bulk | PBE-GGA | optimized geometry; symmetry = No. 12; Fermi-level density of states = 4.5 states/eV per cell; formation energy from the elements = -0.151 eV per atom
1.0
5.6407 -5.7047 0.0000
5.6407 5.7047 0.0000
-5.6079 0.0000 5.6872
Rb Tl Hg Pd
2 1 6 1
Direct
0.2502 0.7498 0.0000
0.7498 0.2502 0.0000
0.0000 0.0000 0.5000
0.2605 0.2605 0.4969
0.2620 0.2620 0.0250
0.2629 0.7371 0.5000
0.7371 0.2629 0.5000
0.7380 0.7380 0.9750
0.7395 0.7395 0.5031
0.5000 0.5000 0.5000

=====

Entry 2:
AcMnNi4 | Alexandria via LeMat-Bulk | PBE-GGA | optimized geometry; symmetry = No. 216; Fermi-level density of states = 4.9 states/eV per cell; formation energy from the elements = -0.051 eV per atom
1.0
0.0000 3.5881 3.5881
3.5881 0.0000 3.5881
3.5881 3.5881 0.0000
Ac Mn Ni
1 1 4
Direct
0.0000 0.0000 0.0000
0.7500 0.7500 0.7500
0.3769 0.3769 0.3769
0.3769 0.3769 0.8693
0.3769 0.8693 0.3769
0.8693 0.3769 0.3769

=====

E_tot for every record listed, in sequence, given in Ha/atom: -0.0471; -0.2249.
V for every record listed, in sequence, given in Å³/cell: 366; 92.